## TlTe2MoO8 (PBE+U)

Data for a relaxed structure of TlTe2MoO8.

Unit cell a=5.467 b=6.871 c=7.127 alpha=47.41 beta=67.45 gamma=66.56
Fractional coordinates of all 12 atoms:
Tl 0.500 0.500 0.500
Te 0.280 0.229 0.211
Te 0.720 0.771 0.789
Mo 0.000 0.000 0.000
O 0.923 0.371 0.782
O 0.686 0.482 0.147
O 0.077 0.629 0.218
O 0.314 0.518 0.853
O 0.635 0.986 0.227
O 0.365 0.014 0.773
O 0.151 0.986 0.227
O 0.849 0.014 0.773

Summary:
SG: No. 12
calculated total energy: -5.633 eV/atom
DOS at the Fermi energy: 5.06 states/eV per cell